# 1
The following is a GGA-PBE calculation of a relaxed structure of CoTc2Br, from the Alexandria database.

Uncorrected formation energy in meV/atom: 637
Calculated total energy in eV/atom: -6.741
Fermi-level density of states in states/eV/f.u.: 4.43
E above lowest polymorph in kJ/mol of formula units: 71
V in Å³/atom: 15.60

abc: 3.0927 3.0959 6.5191
angles: 90.00 90.00 90.00
Sites, in units of the cell vectors:
Br: 0.5000 0.5000 0.2500
Co: 0.5000 0.5000 0.7500
Tc: 0.0000 0.0000 0.9396
Tc: 0.0000 0.0000 0.5604

***

# 2
The following is a GGA-PBE calculation of a relaxed structure of PaIn2HgO8, from the Alexandria database.

Uncorrected formation energy in meV/atom: -1322
Calculated total energy in eV/atom: -5.901
Fermi-level density of states in states/eV/f.u.: 9.78
V in Å³/atom: 14.93

abc: 6.1748 6.1748 6.1748
angles: 113.13 113.13 102.38
Sites, in units of the cell vectors:
Pa: 0.2500 0.7500 0.5000
In: 0.7500 0.2500 0.5000
In: 0.5000 0.5000 0.0000
Hg: 0.0000 0.0000 0.0000
O: 0.3470 0.0306 0.3164
O: 0.3034 0.5019 0.1985
O: 0.3034 0.1049 0.8015
O: 0.7143 0.0306 0.6836
O: 0.8951 0.6966 0.1985
O: 0.9694 0.2857 0.3164
O: 0.9694 0.6530 0.6836
O: 0.4981 0.6966 0.8015

***

# 3
The following is a GGA-PBE calculation of a relaxed structure of K2NaTl2, from the Alexandria database.

Calculated total energy in eV/atom: -1.677
Fermi-level density of states in states/eV/f.u.: 2.89
E above lowest polymorph in kJ/mol of formula units: 4
V in Å³/atom: 40.75

abc: 3.6880 7.0875 8.2790
angles: 104.66 102.87 90.00
Sites, in units of the cell vectors:
K: 0.3666 0.4413 0.7332
K: 0.6334 0.5587 0.2668
Na: 0.0000 0.0000 0.0000
Tl: 0.6834 0.0874 0.3667
Tl: 0.3166 0.9126 0.6333

***

# 4
The following is a GGA-PBE calculation of a relaxed structure of PrSn2Pd4Pt, from the Alexandria database.

Calculated total energy in eV/atom: -5.508
Fermi-level density of states in states/eV/f.u.: 3.78
V in Å³/atom: 19.42

abc: 4.5621 4.5621 9.0136
angles: 75.34 75.34 60.00
Sites, in units of the cell vectors:
Pr: 0.0000 0.0000 0.0000
Sn: 0.7632 0.7632 0.7103
Sn: 0.2368 0.2368 0.2897
Pd: 0.3953 0.3953 0.8140
Pd: 0.8744 0.8744 0.3768
Pd: 0.1256 0.1256 0.6232
Pd: 0.6047 0.6047 0.1860
Pt: 0.5000 0.5000 0.5000

***

# 5
The following is a GGA-PBE calculation of a relaxed structure of BeNi2Te, from the Alexandria database.

Uncorrected formation energy in meV/atom: 128
Calculated total energy in eV/atom: -4.479
Fermi-level density of states in states/eV/f.u.: 1.60
E above lowest polymorph in kJ/mol of formula units: 60
V in Å³/atom: 13.47

abc: 2.9952 2.9951 6.0040
angles: 90.00 90.00 90.02
Sites, in units of the cell vectors:
Ni: 0.0000 0.0000 0.9508
Ni: 0.0000 0.0000 0.5492
Te: 0.5000 0.5000 0.2500
Be: 0.5000 0.5000 0.7500

***

# 6
The following is a GGA-PBE calculation of a relaxed structure of CaFeTc2, from the Alexandria database.

Calculated total energy in eV/atom: -7.430
Fermi-level density of states in states/eV/f.u.: 6.01
E above lowest polymorph in kJ/mol of formula units: 0
V in Å³/atom: 17.59

abc: 3.1088 3.1143 7.9048
angles: 66.81 90.00 90.00
Sites, in units of the cell vectors:
Ca: 0.0000 0.4988 0.5011
Tc: 0.0000 0.9996 0.0006
Tc: 0.5000 0.3106 0.1895
Fe: 0.5000 0.6911 0.8087

***

Q: Which of these has the lowest V?
A: BeNi2Te

***

Q: Among the records above, which one has the highest calculated total energy?
A: K2NaTl2

***

Q: Which of these has the lowest calculated total energy?
A: CaFeTc2

***

Q: Fermi-level density of states of number 6 (CaFeTc2)?
A: 6.01 states/eV/f.u.